# 1
! LaPaP GGA-PBE optimized geometry; values from VASP
&SYSTEM
  ibrav = 0, nat = 3, ntyp = 3
/
ATOMIC_SPECIES
Pa 231.04 Pa.upf
P 30.97 P.upf
La 138.91 La.upf
CELL_PARAMETERS angstrom
-4.754 -0.563 -2.668
-1.735 -1.106 3.325
0.106 3.783 -0.986
ATOMIC_POSITIONS angstrom
Pa -0.121 -0.014 -0.068
P -1.993 1.977 -0.382
La -4.269 0.151 0.122
! - Formation enthalpy at 0 K: -0.473 eV/atom
! - Total energy: -21.3 eV per formula unit
! - Energy above the most stable polymorph in this dataset: 0.0 meV per atom
! - SG: P3m1
! - Total moment: 0.00 μB/f.u.


# 2
! LaPa2P3 GGA-PBE optimized geometry; values from VASP
&SYSTEM
  ibrav = 0, nat = 12, ntyp = 3
/
ATOMIC_SPECIES
P 30.97 P.upf
La 138.91 La.upf
Pa 231.04 Pa.upf
CELL_PARAMETERS angstrom
-0.461 3.794 1.246
-3.075 -2.579 0.230
5.905 -5.383 18.582
ATOMIC_POSITIONS angstrom
P 2.548 -1.868 13.118
P 0.000 0.000 0.000
P 3.645 -2.868 16.569
P 2.953 -2.692 9.291
P -1.276 -1.301 3.488
P -0.179 -2.301 6.940
La 4.429 -4.038 13.936
La 1.476 -1.346 4.645
Pa -0.870 1.248 2.364
Pa 1.212 -3.569 11.317
Pa 1.157 -0.600 8.741
Pa 3.238 -5.416 17.693
! - Formation enthalpy at 0 K: -1.389 eV/atom
! - Total energy: -48.5 eV per formula unit
! - SG: P6_3/mmc
! - Total moment: 0.00 μB/f.u.


# 3
! LaPaP2 GGA-PBE optimized geometry; values from VASP
&SYSTEM
  ibrav = 0, nat = 8, ntyp = 3
/
ATOMIC_SPECIES
La 138.91 La.upf
P 30.97 P.upf
Pa 231.04 Pa.upf
CELL_PARAMETERS angstrom
4.072 0.000 0.000
-2.036 3.526 0.000
0.000 0.000 13.613
ATOMIC_POSITIONS angstrom
La 2.036 1.175 3.403
La 0.000 2.351 10.210
P 2.036 1.175 12.076
P 0.000 2.351 1.537
P 0.000 2.351 5.269
P 2.036 1.175 8.344
Pa 0.000 0.000 0.000
Pa 0.000 0.000 6.807
! - Formation enthalpy at 0 K: -1.413 eV/atom
! - Total energy: -30.9 eV per formula unit
! - Energy above the most stable polymorph in this dataset: 23.6 meV per atom
! - SG: P6_3/mmc
! - Total moment: 0.00 μB/f.u.


# 4
! LaPaP2 GGA-PBE optimized geometry; values from VASP
&SYSTEM
  ibrav = 0, nat = 4, ntyp = 3
/
ATOMIC_SPECIES
La 138.91 La.upf
P 30.97 P.upf
Pa 231.04 Pa.upf
CELL_PARAMETERS angstrom
4.091 0.000 0.000
2.046 3.543 0.000
2.046 1.181 6.753
ATOMIC_POSITIONS angstrom
La 4.091 2.362 3.376
P 6.137 3.543 5.224
P 2.046 1.181 1.529
Pa 0.000 0.000 0.000
! - Formation enthalpy at 0 K: -1.436 eV/atom
! - Total energy: -31.0 eV per formula unit
! - Energy above the most stable polymorph in this dataset: 0.0 meV per atom
! - SG: R-3m
! - Total moment: 0.00 μB/f.u.


Question: total energy of number 1 (LaPaP)?
Answer: -21.3 eV per formula unit